# PBE DyCuPd, relaxed
data_DyCuPd
_space_group_name_H-M_alt 'P 1'
_space_group_IT_number 1
_space_group_name_Hall 'P 1'
_cell_length_a 4.3556
_cell_length_b 4.3556
_cell_length_c 3.5498
_cell_angle_alpha 90.00
_cell_angle_beta 90.00
_cell_angle_gamma 120.00
loop_
_atom_site_label
_atom_site_fract_x
_atom_site_fract_y
_atom_site_fract_z
_atom_site_occupancy
Dy1 0.0000 0.0000 0.0000 1
Cu1 0.3333 0.6667 0.5000 1
Pd1 0.6667 0.3333 0.5000 1
# **Magnetization**: 0.0000 μB per atom
# **Energy of formation from the pure elements**: -0.58 eV/atom
# **Space group**: No. 187
# **ΔE to the lowest computed polymorph**: 13 kJ/mol of formula units
# **Energy**: -0.383 Ry per atom